*A*
Density functional theory data (meta-GGA SCAN) for a crystal of Ge2Sb2Te5 relaxed with PBEsol.

N(E_F)   1.6 states/eV/cell
Space-group type   Cm, No. 8

Structure (POSCAR):
```
Ge2Sb2Te5
1.0
-5.906 -0.026 -1.056
-4.024 -2.679 5.529
-3.438 6.135 2.032
Sb Te Ge
2 5 2
Cartesian
-3.441 2.997 2.129
-9.905 0.449 4.253
-6.937 0.344 4.701
-3.463 0.089 2.320
-6.414 3.185 1.705
-9.894 3.385 4.124
-9.929 -2.692 4.468
-6.401 5.990 1.562
-6.978 3.253 4.857
```



*B*
Density functional theory data (meta-GGA SCAN) for a crystal of Ge2Sb2Te5 relaxed with PBEsol.

N(E_F)   0.1 states/eV/cell
Space-group type   P-3m1, No. 164

Structure (POSCAR):
```
Ge2Sb2Te5
1.0
4.226 0.000 0.000
-2.113 3.660 0.000
0.000 0.000 16.817
Sb Te Ge
2 5 2
Cartesian
0.000 0.000 5.342
0.000 0.000 11.475
0.000 2.440 3.346
2.113 1.220 7.068
0.000 0.000 0.000
0.000 2.440 9.749
2.113 1.220 13.471
2.113 1.220 1.690
0.000 2.440 15.127
```



Relative to the most stable one, in eV/atom, the structures come out at *A* 0.035; *B* 0.000.



*A*
Density functional theory data (meta-GGA SCAN) for a crystal of Sc2GeSe relaxed with PBEsol.

N(E_F)   2.1 states/eV/cell
Space-group type   Fm-3m, No. 225

Structure (POSCAR):
```
Sc2GeSe
1.0
4.755 0.000 0.000
2.378 4.118 0.000
2.378 1.373 3.883
Ge Se Sc
1 1 2
Cartesian
0.000 0.000 0.000
4.755 2.745 1.941
2.378 1.373 0.971
7.133 4.118 2.912
```



*B*
Density functional theory data (meta-GGA SCAN) for a crystal of Sc2GeSe relaxed with PBEsol.

N(E_F)   1.7 states/eV/cell
Space-group type   R-3m, No. 166

Structure (POSCAR):
```
Sc2GeSe
1.0
3.546 0.000 0.000
1.773 3.071 0.000
1.773 1.024 8.562
Ge Sc Se
1 2 1
Cartesian
0.000 0.000 0.000
1.773 1.024 5.914
5.318 3.071 2.648
3.546 2.047 4.281
```



Relative to the most stable one, in eV/atom, the structures come out at *A* 0.000; *B* 0.225.



*A*
Density functional theory data (meta-GGA SCAN) for a crystal of GeTeSe2 relaxed with PBEsol.

N(E_F)   2.5 states/eV/cell
Space-group type   R-3m, No. 166

Structure (POSCAR):
```
GeTeSe2
1.0
-3.436 -1.267 -0.545
-0.652 -3.645 0.007
-2.797 -1.365 8.240
Ge Se Te
1 2 1
Cartesian
-3.443 -3.138 3.851
-4.543 -4.826 2.134
-2.342 -1.451 5.568
0.000 0.000 0.000
```



*B*
Density functional theory data (meta-GGA SCAN) for a crystal of GeTeSe2 relaxed with PBEsol.

N(E_F)   1.6 states/eV/cell
Space-group type   Fm-3m, No. 225

Structure (POSCAR):
```
GeTeSe2
1.0
4.928 0.000 0.000
2.464 4.268 0.000
2.464 1.423 4.024
Se Ge Te
2 1 1
Cartesian
7.393 4.268 3.018
2.464 1.423 1.006
0.000 0.000 0.000
4.928 2.845 2.012
```



Relative to the most stable one, in eV/atom, the structures come out at *A* 0.000; *B* 0.322.



*A*
Density functional theory data (meta-GGA SCAN) for a crystal of SiGeTe2 relaxed with PBEsol.

N(E_F)   4.2 states/eV/cell
Space-group type   I-42d, No. 122

Structure (POSCAR):
```
SiGeTe2
1.0
-2.877 4.991 -2.953
-1.467 -5.534 -3.022
-2.050 -0.459 6.123
Ge Te Si
2 4 2
Cartesian
-3.051 -1.770 -2.212
0.000 0.000 0.000
-4.442 -2.816 1.190
-2.831 0.316 -0.266
-3.985 1.483 -3.987
-1.529 -0.987 3.360
-1.758 -2.996 1.551
-3.343 0.768 2.361
```



*B*
Density functional theory data (meta-GGA SCAN) for a crystal of SiGeTe2 relaxed with PBEsol.

N(E_F)   1.5 states/eV/cell
Space-group type   R-3m, No. 166

Structure (POSCAR):
```
SiGeTe2
1.0
-1.318 -3.207 1.436
1.845 -3.215 -0.583
4.940 -0.758 7.747
Te Si Ge
2 1 1
Cartesian
3.410 -1.202 5.350
2.057 -5.978 3.250
2.734 -3.590 4.300
0.000 0.000 0.000
```



Relative to the most stable one, in eV/atom, the structures come out at *A* 0.009; *B* 0.000.



*A*
Density functional theory data (meta-GGA SCAN) for a crystal of V10Si3Ge3 relaxed with PBEsol.

N(E_F)   11.3 states/eV/cell
Space-group type   P-62m, No. 189

Structure (POSCAR):
```
V10Si3Ge3
1.0
-0.775 4.325 1.934
2.287 -2.409 6.304
4.615 2.884 -4.599
Si V Ge
3 10 3
Cartesian
4.148 0.285 1.024
0.913 -0.961 2.515
1.841 1.151 -1.835
1.784 -1.879 4.915
0.806 2.909 -0.223
2.480 2.609 4.125
1.520 0.105 0.375
0.204 1.539 2.598
2.871 0.426 3.148
3.647 2.191 -0.486
3.599 2.249 -3.586
4.729 2.514 2.231
3.256 4.374 0.490
2.439 3.929 -1.849
1.013 0.687 4.827
2.288 2.347 1.628
```



*B*
Density functional theory data (meta-GGA SCAN) for a crystal of V10Si3Ge3 relaxed with PBEsol.

N(E_F)   10.4 states/eV/cell
Space-group type   Fmm2, No. 42

Structure (POSCAR):
```
V10Si3Ge3
1.0
-3.507 1.527 -2.808
-5.500 -4.336 0.503
-4.167 4.404 3.590
V Ge Si
10 3 3
Cartesian
-8.099 -0.193 1.993
-2.647 1.163 -2.091
-0.880 0.394 -0.676
-9.102 -0.570 -0.968
-5.063 1.778 -0.728
-6.768 2.682 1.894
-9.645 1.917 1.062
-6.420 -1.102 -0.599
-3.519 -0.303 0.221
-4.065 2.147 2.236
-5.121 3.961 0.532
-5.709 0.414 1.342
-7.463 1.177 -0.061
-8.912 4.240 1.410
-8.425 1.753 3.458
-2.554 1.971 0.253
```



Relative to the most stable one, in eV/atom, the structures come out at *A* 0.035; *B* 0.000.



*A*
Density functional theory data (meta-GGA SCAN) for a crystal of Sm3Ge5 relaxed with PBEsol.

N(E_F)   4.3 states/eV/cell
Space-group type   P-62c, No. 190

Structure (POSCAR):
```
Sm3Ge5
1.0
6.894 0.000 0.000
-3.447 5.971 0.000
0.000 0.000 8.430
Ge Sm
10 6
Cartesian
0.000 0.000 6.323
3.447 1.990 6.323
4.360 3.592 2.108
0.913 2.379 6.323
1.603 1.980 2.108
0.000 3.980 2.108
0.931 5.572 6.323
4.378 0.399 2.108
-1.844 3.991 6.323
0.000 0.000 2.108
2.280 0.000 0.000
2.280 0.000 4.215
-1.140 1.974 4.215
2.307 3.996 0.000
-1.140 1.974 0.000
2.307 3.996 4.215
```



*B*
Density functional theory data (meta-GGA SCAN) for a crystal of Sm3Ge5 relaxed with PBEsol.

N(E_F)   5.8 states/eV/cell
Space-group type   Fdd2, No. 43

Structure (POSCAR):
```
Sm3Ge5
1.0
5.790 0.000 0.000
2.895 6.900 0.000
2.895 0.000 8.688
Ge Sm
10 6
Cartesian
8.407 4.749 5.543
6.067 4.749 3.144
2.895 4.142 0.000
6.960 1.299 7.488
2.939 2.250 5.849
10.176 5.700 7.183
4.342 0.692 4.344
5.746 2.250 2.839
4.298 5.700 1.505
1.725 1.299 1.200
5.790 3.457 0.000
2.946 3.365 2.934
7.186 6.815 7.278
5.738 3.365 5.754
7.237 0.007 4.344
7.289 6.815 1.410
```



Relative to the most stable one, in eV/atom, the structures come out at *A* 0.000; *B* 0.005.